{"formula": "Ti5Ga2Pt2", "functional": "PBE", "state": "optimized geometry", "cell": [[6.410, 0.000, 0.000], [0.000, 7.315, 0.000], [0.000, -3.657, 6.658]], "species": ["Ga", "Pt", "Ti", "Ti", "Pt", "Ga", "Pt", "Ti", "Ga", "Ti", "Ti", "Ti", "Pt", "Ti", "Ga", "Ti", "Ti", "Ti"], "fractional_positions": [[0.000, 0.209, 0.418], [0.362, 0.134, 0.000], [0.000, 0.000, 0.000], [0.158, 0.457, 0.269], [0.638, 0.866, 0.000], [0.500, 0.709, 0.418], [0.862, 0.366, 0.000], [0.500, 0.500, 0.000], [0.000, 0.791, 0.582], [0.342, 0.688, 0.731], [0.842, 0.543, 0.731], [0.842, 0.812, 0.269], [0.138, 0.634, 0.000], [0.658, 0.312, 0.269], [0.500, 0.291, 0.582], [0.658, 0.043, 0.731], [0.342, 0.957, 0.269], [0.158, 0.188, 0.731]], "e_tot_ev_per_fu": -62.0, "formation_enthalpy_0k_mev_per_atom": -492}

***

{"formula": "Ti2Ga3Pt", "functional": "PBE", "state": "optimized geometry", "cell": [[4.385, 0.000, 0.000], [0.000, 5.350, 0.000], [-2.192, -2.675, 4.420]], "species": ["Pt", "Ga", "Ti", "Ti", "Ga", "Ga"], "fractional_positions": [[0.000, 0.500, 0.000], [0.657, 0.657, 0.315], [0.328, 0.828, 0.657], [0.672, 0.172, 0.343], [0.000, 0.000, 0.000], [0.343, 0.343, 0.685]], "e_tot_ev_per_fu": -32.2, "formation_enthalpy_0k_mev_per_atom": -211}

***

{"formula": "TiGaPt6", "functional": "PBE", "state": "optimized geometry", "cell": [[3.946, 0.000, 0.000], [0.000, 3.946, 0.000], [0.000, 0.000, 7.890]], "species": ["Pt", "Pt", "Pt", "Pt", "Pt", "Ga", "Pt", "Ti"], "fractional_positions": [[0.500, 0.500, 0.500], [0.500, 0.500, 0.000], [0.500, 0.000, 0.745], [0.000, 0.500, 0.255], [0.000, 0.500, 0.745], [0.000, 0.000, 0.000], [0.500, 0.000, 0.255], [0.000, 0.000, 0.500]], "e_tot_ev_per_fu": -52.7, "formation_enthalpy_0k_mev_per_atom": -695}

***

{"formula": "Ti5Ga8Pt", "functional": "PBE", "state": "optimized geometry", "cell": [[-3.180, 0.763, -5.879], [5.171, -4.210, -0.890], [-4.093, -2.588, 4.669]], "species": ["Ga", "Ga", "Ti", "Ti", "Ga", "Ga", "Ti", "Ga", "Ti", "Pt", "Ga", "Ga", "Ti", "Ga"], "fractional_positions": [[0.653, 0.898, 0.876], [0.244, 0.223, 0.347], [0.950, 0.411, 0.149], [0.851, 0.801, 0.262], [0.185, 0.797, 0.610], [0.979, 0.102, 0.756], [0.500, 0.000, 0.500], [0.813, 0.203, 0.388], [0.738, 0.589, 0.539], [0.250, 0.500, 0.750], [0.612, 0.424, 0.815], [0.124, 0.777, 0.021], [0.461, 0.199, 0.050], [0.390, 0.576, 0.187]], "e_tot_ev_per_fu": -73.9, "formation_enthalpy_0k_mev_per_atom": -296}

***

{"formula": "TiGa3Pt", "functional": "PBE", "state": "optimized geometry", "cell": [[4.083, -0.001, 0.000], [0.001, 6.437, 0.000], [0.000, 0.000, 6.573]], "species": ["Ga", "Ga", "Ga", "Ti", "Pt", "Ga", "Pt", "Ti", "Ga", "Ga"], "fractional_positions": [[0.750, 0.026, 0.704], [0.250, 0.526, 0.296], [0.750, 0.750, 0.000], [0.750, 0.250, 0.316], [0.750, 0.750, 0.384], [0.250, 0.974, 0.296], [0.250, 0.250, 0.616], [0.250, 0.750, 0.684], [0.750, 0.474, 0.704], [0.250, 0.250, 0.000]], "e_tot_ev_per_fu": -25.0, "formation_enthalpy_0k_mev_per_atom": -403}

***

{"formula": "TiGaPt", "functional": "PBE", "state": "optimized geometry", "cell": [[4.277, -0.016, -0.831], [-2.263, 3.668, -0.643], [-0.065, 0.035, 6.632]], "species": ["Ga", "Ti", "Pt", "Pt", "Ga", "Ti"], "fractional_positions": [[0.491, 0.455, 0.945], [0.704, 0.015, 0.720], [0.113, 0.756, 0.869], [0.494, 0.820, 0.314], [0.904, 0.550, 0.454], [0.111, 0.113, 0.224]], "e_tot_ev_per_fu": -19.4, "formation_enthalpy_0k_mev_per_atom": -799}

***

{"formula": "TiGaPt2", "functional": "PBE", "state": "optimized geometry", "cell": [[2.839, 0.000, 0.000], [0.000, 2.839, 0.000], [0.000, 0.000, 7.605]], "species": ["Pt", "Ga", "Pt", "Ti"], "fractional_positions": [[0.000, 0.000, 0.755], [0.500, 0.500, 0.000], [0.000, 0.000, 0.245], [0.500, 0.500, 0.500]], "e_tot_ev_per_fu": -26.0, "formation_enthalpy_0k_mev_per_atom": -747}

***

{"formula": "Ti6GaPt5", "functional": "PBE", "state": "optimized geometry", "cell": [[-1.785, 3.275, -3.075], [1.271, -3.364, -4.317], [-5.596, -4.552, -1.754]], "species": ["Ti", "Pt", "Pt", "Ti", "Pt", "Pt", "Ga", "Ti", "Ti", "Pt", "Ti", "Ti"], "fractional_positions": [[0.170, 0.917, 0.664], [0.671, 0.666, 0.669], [0.667, 0.164, 0.671], [0.830, 0.083, 0.336], [0.333, 0.836, 0.329], [0.000, 0.500, 0.000], [0.000, 0.000, 0.000], [0.170, 0.418, 0.664], [0.500, 0.749, 0.000], [0.329, 0.334, 0.331], [0.830, 0.582, 0.336], [0.500, 0.251, 0.000]], "e_tot_ev_per_fu": -90.6, "formation_enthalpy_0k_mev_per_atom": -836}

***

{"formula": "Ti3Ga6Pt", "functional": "PBE", "state": "optimized geometry", "cell": [[6.953, -0.265, -0.271], [-0.416, 6.945, -0.271], [-0.416, -0.425, 6.937]], "species": ["Ti", "Ti", "Ti", "Ga", "Ga", "Ga", "Ga", "Ga", "Ga", "Ti", "Ga", "Pt", "Ti", "Ga", "Pt", "Ga", "Ti", "Ga", "Ga", "Ga"], "fractional_positions": [[0.250, 0.822, 0.678], [0.178, 0.322, 0.750], [0.822, 0.678, 0.250], [0.496, 0.589, 0.857], [0.997, 0.357, 0.089], [0.643, 0.911, 0.003], [0.857, 0.496, 0.589], [0.589, 0.857, 0.496], [0.911, 0.003, 0.643], [0.322, 0.750, 0.178], [0.357, 0.089, 0.997], [0.500, 0.500, 0.500], [0.678, 0.250, 0.822], [0.143, 0.504, 0.411], [0.000, 0.000, 0.000], [0.411, 0.143, 0.504], [0.750, 0.178, 0.322], [0.089, 0.997, 0.357], [0.504, 0.411, 0.143], [0.003, 0.643, 0.911]], "e_tot_ev_per_fu": -51.7, "formation_enthalpy_0k_mev_per_atom": -383}

***

{"formula": "Ti3Ga2Pt3", "functional": "PBE", "state": "optimized geometry", "cell": [[-1.199, 4.016, 2.825], [-7.200, -0.228, -2.732], [1.831, -3.933, 6.367]], "species": ["Pt", "Ti", "Pt", "Ti", "Pt", "Ga", "Ga", "Ti", "Ga", "Ti", "Ga", "Pt", "Ti", "Pt", "Ti", "Pt"], "fractional_positions": [[0.750, 0.608, 0.000], [0.750, 0.752, 0.752], [0.250, 0.392, 0.000], [0.250, 0.752, 0.000], [0.750, 0.000, 0.608], [0.000, 0.667, 0.333], [0.500, 0.667, 0.333], [0.750, 0.248, 0.000], [0.500, 0.333, 0.667], [0.250, 0.000, 0.752], [0.000, 0.333, 0.667], [0.250, 0.000, 0.392], [0.750, 0.000, 0.248], [0.750, 0.392, 0.392], [0.250, 0.248, 0.248], [0.250, 0.608, 0.608]], "e_tot_ev_per_fu": -53.7, "formation_enthalpy_0k_mev_per_atom": -736}

***

{"formula": "Ti2Ga2Pt7", "functional": "PBE", "state": "optimized geometry", "cell": [[6.019, -0.132, -0.299], [-0.189, 5.138, 0.182], [-0.673, 0.127, 5.989]], "species": ["Pt", "Ti", "Pt", "Pt", "Ti", "Ga", "Pt", "Pt", "Pt", "Ga", "Pt"], "fractional_positions": [[0.486, 0.242, 0.514], [0.208, 0.500, 0.208], [0.514, 0.758, 0.486], [0.414, 0.246, 0.957], [0.792, 0.500, 0.792], [0.234, 0.759, 0.766], [0.586, 0.754, 0.043], [0.000, 0.000, 0.000], [0.043, 0.246, 0.586], [0.766, 0.241, 0.234], [0.957, 0.754, 0.414]], "e_tot_ev_per_fu": -69.6, "formation_enthalpy_0k_mev_per_atom": -501}

***

{"formula": "Ti2GaPt8", "functional": "PBE", "state": "optimized geometry", "cell": [[-2.694, 2.400, 1.861], [-3.964, -3.623, -1.067], [4.756, -3.187, 6.566]], "species": ["Pt", "Pt", "Pt", "Ti", "Pt", "Ga", "Pt", "Pt", "Pt", "Ti", "Pt"], "fractional_positions": [[0.355, 0.014, 0.710], [0.645, 0.986, 0.290], [0.778, 0.683, 0.557], [0.815, 0.243, 0.631], [0.222, 0.317, 0.443], [0.500, 0.000, 0.000], [0.608, 0.454, 0.216], [0.972, 0.246, 0.943], [0.392, 0.546, 0.784], [0.185, 0.757, 0.369], [0.028, 0.754, 0.057]], "e_tot_ev_per_fu": -73.8, "formation_enthalpy_0k_mev_per_atom": -606}